Entry from Alexandria via LeMat-Bulk: crystalline Nd9C2I14 at its relaxed geometry (PBE).

Computed properties:
Symmetry ... P-3, No. 147
ΔE_f (raw) ... -1.0330 eV per atom

Structure (POSCAR):
```
Nd9C2I14
1.0
9.275 0.000 0.000
-4.638 8.032 0.000
0.000 0.000 12.221
Nd C I
9 2 14
Direct
0.283 0.880 0.332
0.120 0.403 0.332
0.333 0.667 0.078
0.000 0.000 0.000
0.403 0.283 0.668
0.597 0.717 0.332
0.667 0.333 0.922
0.880 0.597 0.668
0.717 0.120 0.668
0.333 0.667 0.280
0.667 0.333 0.720
0.045 0.678 0.906
0.319 0.909 0.604
0.091 0.410 0.604
0.000 0.000 0.272
0.000 0.000 0.728
0.322 0.367 0.906
0.633 0.955 0.906
0.410 0.319 0.396
0.590 0.681 0.604
0.367 0.045 0.094
0.678 0.633 0.094
0.909 0.590 0.396
0.681 0.091 0.396
0.955 0.322 0.094
```